{
  "formula": "Li5Mn3Ni2O10",
  "functional": "GGA+U",
  "state": "optimized geometry",
  "lattice": [[5.5482, 0.3880, 0.1009], [-0.7506, 5.1017, 0.4467], [-2.4099, -2.3238, 7.0619]],
  "species": ["O", "O", "O", "O", "O", "O", "O", "O", "O", "O", "Ni", "Ni", "Mn", "Mn", "Mn", "Li", "Li", "Li", "Li", "Li"],
  "fractional_positions": [[0.6183, 0.2441, 0.9546], [0.2434, 0.3377, 0.1890], [0.3378, 0.8944, 0.5532], [0.0648, 0.2702, 0.7898], [0.6622, 0.1056, 0.4468], [0.9352, 0.7298, 0.2102], [0.1930, 0.7221, 0.6391], [0.7566, 0.6623, 0.8110], [0.8070, 0.2779, 0.3609], [0.3817, 0.7559, 0.0454], [0.4142, 0.5098, 0.8185], [0.5858, 0.4902, 0.1815], [0.2863, 0.9804, 0.2621], [0.7137, 0.0196, 0.7379], [0.0000, 0.5000, 0.0000], [0.8658, 0.4712, 0.6184], [0.0000, 0.0000, 0.5000], [0.2827, 0.0167, 0.8854], [0.1342, 0.5288, 0.3816], [0.7173, 0.9833, 0.1146]],
  "spacegroup": "No. 2",
  "relative_energy_ev_per_fu": 5.66,
  "m_tot_mub_per_atom": 0.900,
  "volume_a3_per_cell": 209,
  "density_g_cm3": 3.8
}